Density functional theory data (PBE) for Cd12Sn2Hg5 after structural relaxation.

Calculated values
The value obtained for the magnetic moment is 0.000 μB per formula unit. Its energy relative to the elements is 0.0366 eV/atom. The density of states at the Fermi level comes out at 5.79 states/eV/f.u. For the polymorph energy (0 for the lowest one), the calculation gives 0.00 eV/f.u.

a = 7.556 Å, b = 9.764 Å, c = 7.831 Å
α = 57.94°, β = 94.65°, γ = 104.55°
Element x y z (fractional)
Cd 0.709 0.537 0.916
Cd 0.291 0.463 0.084
Cd 0.420 0.854 0.758
Cd 0.810 0.944 0.602
Cd 0.211 0.561 0.388
Cd 0.789 0.439 0.612
Cd 0.607 0.661 0.171
Cd 0.918 0.857 0.272
Cd 0.580 0.146 0.242
Cd 0.190 0.056 0.398
Cd 0.393 0.339 0.829
Cd 0.082 0.143 0.728
Sn 0.021 0.759 0.991
Sn 0.979 0.241 0.009
Hg 0.470 0.265 0.509
Hg 0.500 0.000 0.000
Hg 0.102 0.661 0.666
Hg 0.530 0.735 0.491
Hg 0.898 0.339 0.334